--- one ---
# TaOs2Br PBE optimized geometry
# Theoretical density in Mg/m³: 16.9
# Magnetization in μB per cell: 0.0
data_TaOs2Br
_symmetry_space_group_name_H-M 'I m m m'
_symmetry_Int_Tables_number 71
_symmetry_space_group_name_Hall '-I 2 2'
_cell_length_a 2.951
_cell_length_b 4.614
_cell_length_c 9.273
_cell_angle_alpha 90.00
_cell_angle_beta 90.00
_cell_angle_gamma 90.00
loop_
_atom_site_label
_atom_site_fract_x
_atom_site_fract_y
_atom_site_fract_z
Ta1 0.000 0.000 0.000
Os1 0.000 0.500 0.235
Br1 0.000 0.000 0.500

---

--- two ---
# TaOs2Br PBE optimized geometry
# Theoretical density in Mg/m³: 12.5
# Magnetization in μB per cell: 0.0
data_TaOs2Br
_symmetry_space_group_name_H-M 'P 1 m 1'
_symmetry_Int_Tables_number 6
_cell_length_a 2.986
_cell_length_b 3.664
_cell_length_c 7.791
_cell_angle_alpha 90.00
_cell_angle_beta 90.20
_cell_angle_gamma 90.00
loop_
_symmetry_equiv_pos_as_xyz
'x,y,z'
'x,-y,z'
loop_
_atom_site_label
_atom_site_fract_x
_atom_site_fract_y
_atom_site_fract_z
Ta1 0.000 0.000 0.000
Os1 0.498 0.500 0.795
Os2 0.997 0.000 0.674
Br1 0.004 0.500 0.252

---

Which of them is least stable? Easy: one.

---

--- one ---
# TaOs2Br PBE optimized geometry
# Theoretical density in Mg/m³: 16.1
# Magnetization in μB per cell: 0.0
data_TaOs2Br
_symmetry_space_group_name_H-M 'I 4/m m m'
_symmetry_Int_Tables_number 139
_symmetry_space_group_name_Hall '-I 4 2'
_cell_length_a 4.133
_cell_length_b 4.133
_cell_length_c 7.732
_cell_angle_alpha 90.00
_cell_angle_beta 90.00
_cell_angle_gamma 90.00
loop_
_atom_site_label
_atom_site_fract_x
_atom_site_fract_y
_atom_site_fract_z
Ta1 0.000 0.000 0.000
Os1 0.000 0.500 0.250
Br1 0.000 0.000 0.500

---

--- two ---
# TaOs2Br PBE optimized geometry
# Theoretical density in Mg/m³: 16.3
# Magnetization in μB per cell: 0.0
data_TaOs2Br
_symmetry_space_group_name_H-M 'F -4 3 m'
_symmetry_Int_Tables_number 216
_symmetry_space_group_name_Hall 'F -4 2 3'
_cell_length_a 6.396
_cell_length_b 6.396
_cell_length_c 6.396
_cell_angle_alpha 90.00
_cell_angle_beta 90.00
_cell_angle_gamma 90.00
loop_
_atom_site_label
_atom_site_fract_x
_atom_site_fract_y
_atom_site_fract_z
Ta1 0.000 0.000 0.000
Os1 0.000 0.000 0.500
Os2 0.250 0.250 0.250
Br1 0.250 0.250 0.750

---

Which of them is least stable? Easy: one.

---

--- one ---
# TaOs2Br PBE optimized geometry
# Theoretical density in Mg/m³: 16.4
# Magnetization in μB per cell: 0.0
data_TaOs2Br
_symmetry_space_group_name_H-M 'I m m 2'
_symmetry_Int_Tables_number 44
_cell_length_a 2.981
_cell_length_b 4.617
_cell_length_c 9.423
_cell_angle_alpha 90.00
_cell_angle_beta 90.00
_cell_angle_gamma 90.00
loop_
_symmetry_equiv_pos_as_xyz
'x,y,z'
'-x,-y,z'
'-x,y,z'
'x,-y,z'
'x+1/2,y+1/2,z+1/2'
'-x+1/2,-y+1/2,z+1/2'
'-x+1/2,y+1/2,z+1/2'
'x+1/2,-y+1/2,z+1/2'
loop_
_atom_site_label
_atom_site_fract_x
_atom_site_fract_y
_atom_site_fract_z
Ta1 0.000 0.000 0.000
Os1 0.000 0.000 0.524
Os2 0.000 0.500 0.783
Br1 0.000 0.500 0.267

---

--- two ---
# TaOs2Br PBE optimized geometry
# Theoretical density in Mg/m³: 16.1
# Magnetization in μB per cell: 0.0
data_TaOs2Br
_symmetry_space_group_name_H-M 'P 4/m m m'
_symmetry_Int_Tables_number 123
_symmetry_space_group_name_Hall '-P 4 2'
_cell_length_a 4.659
_cell_length_b 4.659
_cell_length_c 3.043
_cell_angle_alpha 90.00
_cell_angle_beta 90.00
_cell_angle_gamma 90.00
loop_
_atom_site_label
_atom_site_fract_x
_atom_site_fract_y
_atom_site_fract_z
Ta1 0.000 0.000 0.000
Os1 0.000 0.500 0.500
Br1 0.500 0.500 0.000

---

Which of them is least stable? Easy: two.

---

--- one ---
# TaOs2Br PBE optimized geometry
# Theoretical density in Mg/m³: 15.1
# Magnetization in μB per cell: 0.0
data_TaOs2Br
_symmetry_space_group_name_H-M 'P 4/m m m'
_symmetry_Int_Tables_number 123
_symmetry_space_group_name_Hall '-P 4 2'
_cell_length_a 3.169
_cell_length_b 3.169
_cell_length_c 7.021
_cell_angle_alpha 90.00
_cell_angle_beta 90.00
_cell_angle_gamma 90.00
loop_
_atom_site_label
_atom_site_fract_x
_atom_site_fract_y
_atom_site_fract_z
Ta1 0.000 0.000 0.000
Os1 0.500 0.500 0.211
Br1 0.000 0.000 0.500

---

--- two ---
# TaOs2Br PBE optimized geometry
# Theoretical density in Mg/m³: 16.4
# Magnetization in μB per cell: 0.0
data_TaOs2Br
_symmetry_space_group_name_H-M 'P 1 2/m 1'
_symmetry_Int_Tables_number 10
_cell_length_a 2.963
_cell_length_b 4.209
_cell_length_c 5.371
_cell_angle_alpha 90.00
_cell_angle_beta 104.84
_cell_angle_gamma 90.00
loop_
_symmetry_equiv_pos_as_xyz
'x,y,z'
'-x,-y,-z'
'-x,y,-z'
'x,-y,z'
loop_
_atom_site_label
_atom_site_fract_x
_atom_site_fract_y
_atom_site_fract_z
Ta1 0.000 0.000 0.000
Os1 0.366 0.500 0.744
Br1 0.000 0.000 0.500

---

Which of them is least stable? Easy: two.